Entry from Alexandria: an optimized crystal structure of RbCdIn3 (PBE-GGA).

Cell lengths 5.738, 5.738, 5.738 Å; angles 90.00, 90.00, 90.00 degrees
Element x y z (fractional)
1 In 0.500 0.000 0.000
2 In 0.000 0.500 0.000
3 In 0.000 0.000 0.500
4 Cd 0.000 0.000 0.000
5 Rb 0.500 0.500 0.500

## Properties
Its excess energy over the best structure of this formula in the dataset is 267 meV/atom. For the mass density, the calculation gives 4.8 Mg/m³. The crystal system is cubic. The density of states at the Fermi level comes out at 4.3 states/eV/f.u. The energy of formation comes out at 82 kJ/mol of formula units.